No. 1
Below is a geometry-optimized ZnCu3Ni4O12 structure, with properties calculated at the PBE with a Hubbard U level.

```
ZnCu3Ni4O12
1.0
-3.622 3.622 3.622
3.622 -3.622 3.622
3.622 3.622 -3.622
Zn Cu Ni O
1 3 4 12
direct
0.000 0.000 0.000 Zn
0.000 0.500 0.500 Cu
0.500 0.000 0.500 Cu
0.500 0.500 0.000 Cu
0.000 0.000 0.500 Ni
0.000 0.500 0.000 Ni
0.500 0.000 0.000 Ni
0.500 0.500 0.500 Ni
0.139 0.308 0.831 O
0.169 0.477 0.308 O
0.169 0.861 0.692 O
0.308 0.169 0.477 O
0.308 0.831 0.139 O
0.477 0.308 0.169 O
0.523 0.692 0.831 O
0.692 0.169 0.861 O
0.692 0.831 0.523 O
0.831 0.139 0.308 O
0.831 0.523 0.692 O
0.861 0.692 0.169 O
```

---

No. 2
Below is a geometry-optimized ZnCuNi2O4 structure, with properties calculated at the PBE with a Hubbard U level.

```
ZnCuNi2O4
1.0
4.147 -4.145 0.000
4.147 4.145 0.000
-4.120 0.000 4.561
Zn Cu Ni O
2 2 4 8
direct
0.000 0.500 0.000 Zn
0.500 0.000 0.500 Zn
0.000 0.000 0.000 Cu
0.000 0.000 0.500 Cu
0.000 0.500 0.500 Ni
0.500 0.000 0.000 Ni
0.500 0.500 0.000 Ni
0.500 0.500 0.500 Ni
0.232 0.747 0.980 O
0.253 0.768 0.520 O
0.269 0.270 0.055 O
0.270 0.269 0.555 O
0.730 0.731 0.445 O
0.731 0.730 0.945 O
0.747 0.232 0.480 O
0.768 0.253 0.020 O
```

---

No. 3
Below is a geometry-optimized ZrCuNiO2 structure, with properties calculated at the PBE with a Hubbard U level.

```
ZrCuNiO2
1.0
3.780 0.000 0.000
0.000 3.780 0.000
0.000 0.000 4.288
Zr Cu Ni O
1 1 1 2
direct
0.000 0.000 0.000 Zr
0.500 0.500 0.500 Cu
0.500 0.500 0.000 Ni
0.000 0.500 0.500 O
0.500 0.000 0.500 O
```

---

no.,electronic total energy (eV/atom),volume (Å³/atom),DOS(E_F) (states/eV/f.u.)
1,-4.722,9.5,13.005
2,-4.746,9.8,0.021
3,-5.101,12.3,2.600